VASP calculation (PBE-GGA) on PmCoNiSn after structural relaxation.

Lattice parameters (Å, degrees): 4.667 4.667 4.667 60.00 60.00 60.00
Positions (direct):
Ni1 0.500 0.500 0.500
Co1 0.000 0.000 0.000
Sn1 0.250 0.250 0.250
Pm1 0.750 0.750 0.750

- Symmetry: F-43m
- Total DFT energy (no corrections): -5.659 eV/atom
- Crystal system: cubic

***

VASP calculation (PBE-GGA) on InRu2Rh after structural relaxation.

Lattice parameters (Å, degrees): 4.480 4.480 4.480 60.00 60.00 60.00
Positions (direct):
In1 0.500 0.500 0.500
Rh1 0.250 0.250 0.250
Ru1 0.000 0.000 0.000
Ru2 0.750 0.750 0.750

- Symmetry: F-43m
- Total DFT energy (no corrections): -6.912 eV/atom
- Crystal system: cubic

***

VASP calculation (PBE-GGA) on Sr3BeFe after structural relaxation.

Lattice parameters (Å, degrees): 5.817 5.817 5.817 90.00 90.00 90.00
Positions (direct):
Sr1 0.000 0.500 0.000
Sr2 0.000 0.000 0.500
Sr3 0.500 0.000 0.000
Fe1 0.500 0.500 0.500
Be1 0.000 0.000 0.000

- Symmetry: Pm-3m
- Energy above the most stable polymorph in this dataset: 0.000 eV per atom
- Crystal system: cubic